1.
BaSr2Hg2 | PBE | relaxed

```
data_BaSr2Hg2
_chemical_formula_sum 'Ba1 Sr2 Hg2'
_cell_length_a 4.0194
_cell_length_b 4.1258
_cell_length_c 12.0545
_cell_angle_alpha 80.15
_cell_angle_beta 90.00
_cell_angle_gamma 90.00
_symmetry_space_group_name_H-M 'P 1'
_symmetry_Int_Tables_number 1
_symmetry_space_group_name_Hall 'P 1'
loop_
_atom_site_label
_atom_site_type_symbol
_atom_site_fract_x
_atom_site_fract_y
_atom_site_fract_z
Ba1 Ba 0.0000 0.0000 0.0000
Hg1 Hg 0.5000 0.5955 0.8089
Sr1 Sr 0.0000 0.8282 0.3436
Sr2 Sr 0.0000 0.1718 0.6564
Hg2 Hg 0.5000 0.4045 0.1911
```

Output
- Symmetry: Cmmm (65)
- Calculated formation energy: -0.404 eV/atom
- VASP energy: -1.582 eV/atom
- E above lowest polymorph: 19.3 meV per atom
- D(E_F): 0.8144 states/eV/atom

=====

2.
BaSr2Hg | PBE | relaxed

```
data_BaSr2Hg
_chemical_formula_sum 'Ba1 Sr2 Hg1'
_cell_length_a 7.2234
_cell_length_b 7.2234
_cell_length_c 7.2234
_cell_angle_alpha 136.12
_cell_angle_beta 136.12
_cell_angle_gamma 63.79
_symmetry_space_group_name_H-M 'P 1'
_symmetry_Int_Tables_number 1
_symmetry_space_group_name_Hall 'P 1'
loop_
_atom_site_label
_atom_site_type_symbol
_atom_site_fract_x
_atom_site_fract_y
_atom_site_fract_z
Sr1 Sr 0.5000 0.5000 0.0000
Hg1 Hg 0.7500 0.2500 0.5000
Ba1 Ba 0.2500 0.7500 0.5000
Sr2 Sr 0.0000 0.0000 0.0000
```

Output
- Symmetry: I4/mmm (139)
- Calculated formation energy: -0.070 eV/atom
- VASP energy: -1.467 eV/atom
- D(E_F): 1.3140 states/eV/atom

=====

3.
Ba2SrHg | PBE | relaxed

```
data_Ba2SrHg
_chemical_formula_sum 'Ba2 Sr1 Hg1'
_cell_length_a 5.1514
_cell_length_b 5.9582
_cell_length_c 5.8140
_cell_angle_alpha 90.00
_cell_angle_beta 90.00
_cell_angle_gamma 90.00
_symmetry_space_group_name_H-M 'P 1'
_symmetry_Int_Tables_number 1
_symmetry_space_group_name_Hall 'P 1'
loop_
_atom_site_label
_atom_site_type_symbol
_atom_site_fract_x
_atom_site_fract_y
_atom_site_fract_z
Sr1 Sr 0.0000 0.5000 0.5000
Ba1 Ba 0.5000 0.5000 0.0000
Ba2 Ba 0.0000 0.0000 0.0000
Hg1 Hg 0.5000 0.0000 0.5000
```

Output
- Symmetry: Pmmm (47)
- Calculated formation energy: -0.095 eV/atom
- VASP energy: -1.552 eV/atom
- D(E_F): 1.3398 states/eV/atom

=====

4.
BaSr5Hg3 | PBE | relaxed

```
data_BaSr5Hg3
_chemical_formula_sum 'Ba2 Sr10 Hg6'
_cell_length_a 10.2298
_cell_length_b 10.2187
_cell_length_c 10.2187
_cell_angle_alpha 71.25
_cell_angle_beta 64.42
_cell_angle_gamma 104.24
_symmetry_space_group_name_H-M 'P 1'
_symmetry_Int_Tables_number 1
_symmetry_space_group_name_Hall 'P 1'
loop_
_atom_site_label
_atom_site_type_symbol
_atom_site_fract_x
_atom_site_fract_y
_atom_site_fract_z
Sr1 Sr 0.0000 0.2704 0.7296
Hg1 Hg 0.8439 0.3340 0.4902
Ba1 Ba 0.5919 0.8306 0.2387
Hg2 Hg 0.6609 0.6576 0.9966
Sr2 Sr 0.7368 0.4987 0.7619
Sr3 Sr 0.6847 0.9349 0.7115
Sr4 Sr 0.0590 0.8313 0.7723
Hg3 Hg 0.0000 0.0000 0.0000
Hg4 Hg 0.5000 0.0000 0.5000
Sr5 Sr 0.0000 0.7296 0.2704
Sr6 Sr 0.3153 0.6038 0.7498
Hg5 Hg 0.1561 0.6660 0.5098
Ba2 Ba 0.4081 0.1694 0.7613
Sr7 Sr 0.6847 0.3962 0.2502
Sr8 Sr 0.9410 0.1687 0.2277
Sr9 Sr 0.2632 0.5013 0.2381
Sr10 Sr 0.3153 0.0651 0.2885
Hg6 Hg 0.3391 0.3424 0.0034
```

Output
- Symmetry: C2/m (12)
- Calculated formation energy: -0.265 eV/atom
- VASP energy: -1.513 eV/atom
- D(E_F): 1.1301 states/eV/atom

=====

5.
BaSr2Hg | PBE | relaxed

```
data_BaSr2Hg
_chemical_formula_sum 'Ba1 Sr2 Hg1'
_cell_length_a 7.0428
_cell_length_b 7.0428
_cell_length_c 7.0428
_cell_angle_alpha 134.60
_cell_angle_beta 134.60
_cell_angle_gamma 66.15
_symmetry_space_group_name_H-M 'P 1'
_symmetry_Int_Tables_number 1
_symmetry_space_group_name_Hall 'P 1'
loop_
_atom_site_label
_atom_site_type_symbol
_atom_site_fract_x
_atom_site_fract_y
_atom_site_fract_z
Hg1 Hg 0.7500 0.2500 0.5000
Sr1 Sr 0.0000 0.0000 0.0000
Sr2 Sr 0.2500 0.7500 0.5000
Ba1 Ba 0.5000 0.5000 0.0000
```

Output
- Symmetry: I-4m2 (119)
- Calculated formation energy: -0.075 eV/atom
- VASP energy: -1.472 eV/atom
- D(E_F): 1.3970 states/eV/atom

=====

6.
BaSr3Hg | PBE | relaxed

```
data_BaSr3Hg
_chemical_formula_sum 'Ba1 Sr3 Hg1'
_cell_length_a 6.4132
_cell_length_b 6.4132
_cell_length_c 6.4132
_cell_angle_alpha 90.00
_cell_angle_beta 90.00
_cell_angle_gamma 90.00
_symmetry_space_group_name_H-M 'P 1'
_symmetry_Int_Tables_number 1
_symmetry_space_group_name_Hall 'P 1'
loop_
_atom_site_label
_atom_site_type_symbol
_atom_site_fract_x
_atom_site_fract_y
_atom_site_fract_z
Ba1 Ba 0.5000 0.5000 0.5000
Sr1 Sr 0.0000 0.0000 0.5000
Hg1 Hg 0.0000 0.0000 0.0000
Sr2 Sr 0.5000 0.0000 0.0000
Sr3 Sr 0.0000 0.5000 0.0000
```

Output
- Symmetry: Pm-3m (221)
- Calculated formation energy: -0.171 eV/atom
- VASP energy: -1.625 eV/atom
- E above lowest polymorph: 43.6 meV per atom
- D(E_F): 1.8621 states/eV/atom